Below is a relaxed InPd12Pb6 crystal, with properties calculated at the PBE-GGA level.

Cell lengths 7.6501, 7.6501, 7.6501 Å; angles 106.73, 106.73, 106.73 degrees
With the nearest neighbours (Å) after each atom.
Fractional coordinates of all 19 atoms:
In 0.0000 0.0000 0.0000  6 Pd 2.73
Pd 0.1298 0.2637 0.8423  1 In 2.73, 5 Pd 2.84-3.00, 5 Pb 2.95-3.04
Pd 0.1577 0.8702 0.7363  1 In 2.73, 5 Pd 2.84-3.00, 5 Pb 2.95-3.04
Pd 0.1780 0.4703 0.5935  4 Pb 2.76-2.91, 6 Pd 2.84-3.01
Pd 0.2637 0.8423 0.1298  1 In 2.73, 5 Pd 2.84-3.00, 5 Pb 2.95-3.04
Pd 0.4065 0.8220 0.5297  4 Pb 2.76-2.91, 6 Pd 2.84-3.01
Pd 0.4703 0.5935 0.1780  4 Pb 2.76-2.91, 6 Pd 2.84-3.01
Pd 0.5297 0.4065 0.8220  4 Pb 2.76-2.91, 6 Pd 2.84-3.01
Pd 0.5935 0.1780 0.4703  4 Pb 2.76-2.91, 6 Pd 2.84-3.01
Pd 0.7363 0.1577 0.8702  1 In 2.73, 5 Pd 2.84-3.00, 5 Pb 2.95-3.04
Pd 0.8220 0.5297 0.4065  4 Pb 2.76-2.91, 6 Pd 2.84-3.01
Pd 0.8423 0.1298 0.2637  1 In 2.73, 5 Pd 2.84-3.00, 5 Pb 2.95-3.04
Pd 0.8702 0.7363 0.1577  1 In 2.73, 5 Pd 2.84-3.00, 5 Pb 2.95-3.04
Pb 0.0926 0.4866 0.2198  9 Pd 2.76-3.04
Pb 0.2198 0.0926 0.4866  9 Pd 2.76-3.04
Pb 0.4866 0.2198 0.0926  9 Pd 2.76-3.04
Pb 0.5134 0.7801 0.9074  9 Pd 2.76-3.04
Pb 0.7802 0.9074 0.5134  9 Pd 2.76-3.04
Pb 0.9074 0.5134 0.7802  9 Pd 2.76-3.04

Properties
As for the energy of formation: -0.20 eV per atom. The density of states at the Fermi level is 11.76 states/eV/f.u. The total energy is -91.19 eV/cell.